Entry 1:
Crystalline HfMg2Cu at its relaxed geometry, computed with GGA-PBE.

a b c (Å): 3.0150 3.0150 8.2344
angles (deg): 90.00 90.00 90.00
Last column: nearest neighbours and their distance in Å.
Space group P4/mmm (No. 123)
Symmetry-distinct sites (fractional):
Hf 0.0000 0.0000 0.0000 x1  4 Hf 3.02, 8 Mg 3.20
Mg 0.5000 0.5000 0.2893 x2  4 Cu 2.75, 4 Mg 3.02
Cu 0.0000 0.0000 0.5000 x1  8 Mg 2.75, 4 Cu 3.02

Results
Mass density: 6.448 Mg/m³
M_tot: 0.224 μB/f.u.
Energy of formation: 0.044 eV per atom
Total energy: -17.1 eV per cell
Crystal system: tetragonal

---

Entry 2:
Crystalline NaVB3 at its relaxed geometry, computed with GGA-PBE.

a b c (Å): 4.0786 4.0786 4.0786
angles (deg): 90.00 90.00 90.00
Last column: nearest neighbours and their distance in Å.
Space group Pm-3m (No. 221)
Symmetry-distinct sites (fractional):
Na 0.0000 0.0000 0.0000 x1  12 B 2.88
V 0.5000 0.5000 0.5000 x1  6 B 2.04
B 0.0000 0.5000 0.5000 x3  2 V 2.04

Results
Mass density: 2.603 Mg/m³
M_tot: 0.000 μB/f.u.
Energy of formation: 1.047 eV per atom
Total energy: -25.2 eV per cell
Crystal system: cubic

---

Entry 3:
Crystalline LiNiSb2 at its relaxed geometry, computed with GGA-PBE.

a b c (Å): 4.0517 3.7496 9.6868
angles (deg): 90.00 90.00 90.00
Last column: nearest neighbours and their distance in Å.
Space group Amm2 (No. 38)
Symmetry-distinct sites (fractional):
Li 0.0000 0.0000 0.0000 x2  2 Ni 2.54, 7 Sb 2.74-2.82
Ni 0.5000 0.0000 0.8423 x2  2 Li 2.54, 7 Sb 2.75-2.83
Sb 0.0000 0.0000 0.2830 x2  3 Li 2.74-2.82, 4 Ni 2.82
Sb 0.5000 0.0000 0.5505 x2  3 Ni 2.75-2.83, 4 Li 2.80

Results
Mass density: 6.977 Mg/m³
M_tot: 0.000 μB/f.u.
Total energy: -33.0 eV per cell
Crystal system: orthorhombic
Uncorrected formation energy: -0.58 eV per formula unit

---

Entry 4:
Crystalline CsKAuS2 at its relaxed geometry, computed with GGA-PBE.

a b c (Å): 8.9563 15.9058 5.5995
angles (deg): 90.00 90.00 90.00
Last column: nearest neighbours and their distance in Å.
Space group Cmme (No. 67)
Symmetry-distinct sites (fractional):
Cs 0.0000 0.2500 0.2491 x4  4 S 3.50-3.56
K 0.2500 0.0000 0.0000 x4  4 S 3.23, 4 Au 3.58
Au 0.0000 0.0000 0.5000 x4  2 S 2.27
S 0.0000 0.1145 0.7427 x8  1 Au 2.27

Results
Mass density: 3.606 Mg/m³
M_tot: 1.043 μB/f.u.
Total energy: -67.7 eV per cell
Crystal system: orthorhombic
Uncorrected formation energy: -3.44 eV per formula unit

---

Entry 5:
Crystalline Dy6GaCu2 at its relaxed geometry, computed with GGA-PBE.

a b c (Å): 9.3615 9.7445 10.0418
angles (deg): 90.00 90.00 90.00
Last column: nearest neighbours and their distance in Å.
Space group Immm (No. 71)
Symmetry-distinct sites (fractional):
Dy 0.0000 0.1918 0.2409 x8  1 Cu 2.85, 1 Ga 3.06
Dy 0.1978 0.5000 0.1753 x8  3 Cu 2.76-2.96
Dy 0.2246 0.3195 0.5000 x8  3 Cu 3.00-3.04, 1 Ga 3.12
Ga 0.0000 0.0000 0.0000 x2  8 Dy 3.06-3.12, 2 Cu 3.37
Ga 0.0000 0.0000 0.5000 x2  8 Dy 3.20-3.33
Cu 0.0000 0.3460 0.0000 x4  8 Dy 2.85-3.04, 1 Cu 3.00
Cu 0.0000 0.5000 0.3795 x4  1 Cu 2.42

Results
Mass density: 8.497 Mg/m³
M_tot: 0.000 μB/f.u.
Energy of formation: -0.245 eV per atom
Total energy: -164.1 eV per cell
Crystal system: orthorhombic

---

Entry 6:
Crystalline Sm2Ga4Co5 at its relaxed geometry, computed with GGA-PBE.

a b c (Å): 5.4396 9.1833 14.2585
angles (deg): 90.00 90.00 90.00
Last column: nearest neighbours and their distance in Å.
Space group Fmmm (No. 69)
Symmetry-distinct sites (fractional):
Sm 0.0000 0.0000 0.1292 x8  6 Ga 3.08-3.14, 10 Co 3.18-3.28
Ga 0.0000 0.1583 0.3701 x16  5 Co 2.34-2.45
Co 0.0000 0.0000 0.5000 x4  4 Ga 2.36
Co 0.2500 0.2500 0.0000 x8  4 Ga 2.45, 4 Co 2.67-2.72
Co 0.2500 0.2500 0.2500 x8  4 Ga 2.34

Results
Mass density: 8.153 Mg/m³
M_tot: 0.620 μB/f.u.
Energy of formation: -0.327 eV per atom
Total energy: -242.7 eV per cell
Crystal system: orthorhombic

---

Entry 7:
Crystalline U2BeOs at its relaxed geometry, computed with GGA-PBE.

a b c (Å): 2.8551 2.8551 31.3944
angles (deg): 90.00 90.00 120.00
Last column: nearest neighbours and their distance in Å.
Space group R-3m (No. 166, hexagonal axes)
Symmetry-distinct sites (fractional):
U 0.0000 0.0000 0.0899 x6  1 Be 2.82, 6 U 2.86, 3 Os 2.92
Be 0.0000 0.0000 0.0000 x3  2 U 2.82, 6 Be 2.86
Os 0.0000 0.0000 0.5000 x3  6 Os 2.86, 6 U 2.92

Results
Mass density: 15.179 Mg/m³
M_tot: 0.839 μB/f.u.
Energy of formation: 0.703 eV per atom
Total energy: -104.2 eV per cell
Crystal system: trigonal

---

Entry 8:
Crystalline TeRu2W at its relaxed geometry, computed with GGA-PBE.

a b c (Å): 3.0204 4.1192 5.3742
angles (deg): 90.00 90.00 90.00
Last column: nearest neighbours and their distance in Å.
Space group Pmm2 (No. 25)
Symmetry-distinct sites (fractional):
Te 0.0000 0.0000 0.0000 x1  6 Ru 2.68-2.74
Ru 0.0000 0.0000 0.4984 x1  2 Te 2.68-2.70, 4 W 2.70
Ru 0.5000 0.5000 0.8164 x1  2 W 2.60-2.77, 4 Te 2.74
W 0.5000 0.5000 0.3325 x1  6 Ru 2.60-2.77

Results
Mass density: 12.755 Mg/m³
M_tot: 0.000 μB/f.u.
Total energy: -32.8 eV per cell
Crystal system: orthorhombic
Uncorrected formation energy: 1.81 eV per formula unit

---

Entry 9:
Crystalline La6Pm7Y16 at its relaxed geometry, computed with GGA-PBE.

a b c (Å): 16.1580 16.1580 16.1580
angles (deg): 90.00 90.00 90.00
Last column: nearest neighbours and their distance in Å.
Space group Fm-3m (No. 225)
Symmetry-distinct sites (fractional):
La 0.0000 0.0000 0.2439 x24  8 Y 3.52-3.82, 1 Pm 3.94
Pm 0.0000 0.0000 0.0000 x4  8 Y 3.70, 6 La 3.94
Pm 0.0000 0.2500 0.2500 x24  8 Y 3.33-3.44
Y 0.1322 0.1322 0.1322 x32  4 Pm 3.44-3.70, 3 La 3.52, 3 Y 3.55
Y 0.1492 0.1492 0.3508 x32  3 Pm 3.33, 3 Y 3.55

Results
Mass density: 5.150 Mg/m³
M_tot: 0.000 μB/f.u.
Energy of formation: 0.220 eV per atom
Total energy: -639.5 eV per cell
Crystal system: cubic

---

Entry 10:
Crystalline MgAl2P at its relaxed geometry, computed with GGA-PBE.

a b c (Å): 3.8345 3.8345 4.7727
angles (deg): 90.00 90.00 90.00
Last column: nearest neighbours and their distance in Å.
Space group P4/mmm (No. 123)
Symmetry-distinct sites (fractional):
Mg 0.0000 0.0000 0.0000 x1  4 P 2.71
Al 0.0000 0.5000 0.5000 x2  4 Al 2.71
P 0.5000 0.5000 0.0000 x1  4 Mg 2.71

Results
Mass density: 2.585 Mg/m³
M_tot: 0.000 μB/f.u.
Energy of formation: 0.022 eV per atom
Total energy: -14.4 eV per cell
Crystal system: tetragonal

---

Entry 11:
Crystalline LaCdCl3 at its relaxed geometry, computed with GGA-PBE.

a b c (Å): 5.2761 5.2761 5.2761
angles (deg): 90.00 90.00 90.00
Last column: nearest neighbours and their distance in Å.
Space group Pm-3m (No. 221)
Symmetry-distinct sites (fractional):
La 0.0000 0.0000 0.0000 x1  12 Cl 3.73
Cd 0.5000 0.5000 0.5000 x1  6 Cl 2.64
Cl 0.0000 0.5000 0.5000 x3  2 Cd 2.64

Results
Mass density: 4.044 Mg/m³
M_tot: 1.497 μB/f.u.
Total energy: -15.6 eV per cell
Crystal system: cubic
Uncorrected formation energy: -4.23 eV per formula unit

---

Entry 12:
Crystalline Pd3ClF7 at its relaxed geometry, computed with GGA-PBE.

a b c (Å): 9.9245 6.7460 7.1235
angles (deg): 90.00 123.88 90.00
Last column: nearest neighbours and their distance in Å.
Space group Cm (No. 8)
Symmetry-distinct sites (fractional):
Pd 0.0000 0.0000 0.0000 x2  4 F 2.00-2.02
Pd 0.2513 0.2514 0.4983 x4  5 F 2.04-2.23
Cl 0.3179 0.0000 0.3088 x2  3 Pd 2.48-2.66
F 0.0147 0.2124 0.2098 x4  2 Pd 2.02-2.10
F 0.2224 0.0000 0.6367 x2  2 Pd 2.06
F 0.2225 0.5000 0.6799 x2  3 Pd 2.23-2.40
F 0.2790 0.5000 0.3591 x2  2 Pd 2.04
F 0.4833 0.2897 0.7899 x4  2 Pd 2.00-2.09

Results
Mass density: 4.091 Mg/m³
M_tot: 2.028 μB/f.u.
Total energy: -84.4 eV per cell
Crystal system: monoclinic
Uncorrected formation energy: -11.68 eV per formula unit

---

Entry 13:
Crystalline Li2MgAgAu at its relaxed geometry, computed with GGA-PBE.

a b c (Å): 5.2465 13.1746 5.2617
angles (deg): 90.00 90.00 90.00
Last column: nearest neighbours and their distance in Å.
Space group Cmcm (No. 63)
Symmetry-distinct sites (fractional):
Li 0.2434 0.0000 0.0000 x8  4 Li 2.55-2.69, 2 Au 2.66, 2 Ag 2.68
Mg 0.0000 0.2522 0.2500 x4  4 Au 2.94-2.98, 4 Ag 2.96-2.98
Ag 0.0000 0.3548 0.7500 x4  4 Li 2.68, 1 Au 2.75, 4 Mg 2.96-2.98
Au 0.0000 0.1462 0.7500 x4  4 Li 2.66, 1 Ag 2.75, 4 Mg 2.94-2.98

Results
Mass density: 6.265 Mg/m³
M_tot: 0.000 μB/f.u.
Energy of formation: -0.242 eV per atom
Total energy: -51.0 eV per cell
Crystal system: orthorhombic

---

Entry 14:
Crystalline CeMgAg3 at its relaxed geometry, computed with GGA-PBE.

a b c (Å): 5.7353 7.7060 10.1568
angles (deg): 90.00 90.00 90.00
Last column: nearest neighbours and their distance in Å.
Space group Imma (No. 74)
Symmetry-distinct sites (fractional):
Ce 0.0000 0.2500 0.0086 x4  7 Ag 3.11-3.38, 4 Mg 3.46
Mg 0.0000 0.0000 0.5000 x4  6 Ag 2.69-2.96
Ag 0.0000 0.2500 0.3150 x4  2 Mg 2.69, 4 Ag 2.89
Ag 0.2500 0.0637 0.7500 x8  5 Ag 2.87-2.89, 2 Mg 2.96

Results
Mass density: 7.221 Mg/m³
M_tot: 1.601 μB/f.u.
Energy of formation: -0.029 eV per atom
Total energy: -64.9 eV per cell
Crystal system: orthorhombic

---

Entry 15:
Crystalline MgTl8Pb2 at its relaxed geometry, computed with GGA-PBE.

a b c (Å): 12.8739 10.3779 5.7297
angles (deg): 90.00 104.69 90.00
Last column: nearest neighbours and their distance in Å.
Space group C2/m (No. 12)
Symmetry-distinct sites (fractional):
Mg 0.0000 0.0000 0.0000 x2  2 Pb 3.03, 6 Tl 3.16-3.26
Tl 0.0770 0.2572 0.7999 x8  1 Mg 3.16, 4 Tl 3.23-3.50, 1 Pb 3.27
Tl 0.0937 0.5000 0.3163 x4  5 Tl 3.30-3.58, 1 Pb 3.44
Tl 0.2396 0.5000 0.9040 x4  4 Tl 3.23-3.41, 1 Mg 3.26, 2 Pb 3.29-3.30
Pb 0.1299 0.0000 0.5222 x4  1 Mg 3.03, 4 Tl 3.27-3.30, 1 Pb 3.29

Results
Mass density: 9.301 Mg/m³
M_tot: 0.000 μB/f.u.
Energy of formation: 0.096 eV per atom
Total energy: -53.8 eV per cell
Crystal system: monoclinic

---

Entry 16:
Crystalline HgSeS3 at its relaxed geometry, computed with GGA-PBE.

a b c (Å): 4.8275 4.8275 4.8275
angles (deg): 90.00 90.00 90.00
Last column: nearest neighbours and their distance in Å.
Space group Pm-3m (No. 221)
Symmetry-distinct sites (fractional):
Hg 0.0000 0.0000 0.0000 x1  12 S 3.41
Se 0.5000 0.5000 0.5000 x1  6 S 2.41
S 0.0000 0.5000 0.5000 x3  2 Se 2.41

Results
Mass density: 5.546 Mg/m³
M_tot: 0.000 μB/f.u.
Total energy: -12.9 eV per cell
Crystal system: cubic
Uncorrected formation energy: 3.24 eV per formula unit

---

Entry 17:
Crystalline Dy8P4Se3 at its relaxed geometry, computed with GGA-PBE.

a b c (Å): 11.3390 11.3637 8.0192
angles (deg): 90.00 134.83 90.00
Last column: nearest neighbours and their distance in Å.
Space group C2/m (No. 12)
Symmetry-distinct sites (fractional):
Dy 0.0000 0.2426 0.0000 x4  3 P 2.76-2.84, 3 Se 2.84-2.93
Dy 0.0000 0.2442 0.5000 x4  3 P 2.78-2.84, 2 Se 2.84
Dy 0.2358 0.0000 0.9846 x4  2 P 2.76, 3 Se 2.84-2.91
Dy 0.2419 0.0000 0.4893 x4  4 P 2.78-2.84, 1 Se 2.90
P 0.0000 0.0000 0.0000 x2  6 Dy 2.76-2.78
P 0.0000 0.0000 0.5000 x2  6 Dy 2.76-2.80
P 0.2500 0.2500 0.5000 x4  6 Dy 2.84
Se 0.0000 0.5000 0.0000 x2  6 Dy 2.90-2.93
Se 0.2500 0.2500 0.0000 x4  6 Dy 2.84

Results
Mass density: 7.527 Mg/m³
M_tot: 0.000 μB/f.u.
Total energy: -186.1 eV per cell
Crystal system: monoclinic
Uncorrected formation energy: -24.14 eV per formula unit

---

Entry 18:
Crystalline CaIn5Hg6 at its relaxed geometry, computed with GGA-PBE.

a b c (Å): 4.9587 15.6219 8.0769
angles (deg): 90.00 91.99 90.00
Last column: nearest neighbours and their distance in Å.
Space group C2/m (No. 12)
Symmetry-distinct sites (fractional):
Ca 0.0000 0.0000 0.0000 x2  8 Hg 3.20-3.30, 4 In 3.58
In 0.0000 0.0000 0.5000 x2  8 Hg 3.08-3.31
In 0.0000 0.3274 0.5000 x4  8 Hg 3.15-3.32, 2 In 3.46
In 0.0000 0.3343 0.0000 x4  8 Hg 3.14-3.33
Hg 0.0024 0.5000 0.2602 x4  6 In 3.08-3.33, 2 Ca 3.20-3.30
Hg 0.0026 0.1665 0.2476 x8  7 In 3.14-3.31, 1 Ca 3.28

Results
Mass density: 9.654 Mg/m³
M_tot: 0.000 μB/f.u.
Energy of formation: -0.122 eV per atom
Total energy: -37.9 eV per cell
Crystal system: monoclinic

---

Entry 19:
Crystalline BaReW2 at its relaxed geometry, computed with GGA-PBE.

a b c (Å): 3.3214 4.7550 10.1619
angles (deg): 90.00 90.00 90.00
Last column: nearest neighbours and their distance in Å.
Space group Cmmm (No. 65)
Symmetry-distinct sites (fractional):
Ba 0.0000 0.0000 0.0000 x2  4 Ba 2.90
Re 0.0000 0.0000 0.5000 x2  4 W 2.64, 4 Re 2.90
W 0.0000 0.5000 0.2987 x4  2 Re 2.64, 4 W 2.90

Results
Mass density: 14.303 Mg/m³
M_tot: 0.000 μB/f.u.
Energy of formation: 0.982 eV per atom
Total energy: -72.7 eV per cell
Crystal system: orthorhombic

---

Entry 20:
Crystalline LaSbSe at its relaxed geometry, computed with GGA-PBE.

a b c (Å): 16.1927 4.4812 5.7465
angles (deg): 90.00 110.45 90.00
Last column: nearest neighbours and their distance in Å.
Space group C2/m (No. 12)
Symmetry-distinct sites (fractional):
La 0.1571 0.0000 0.1583 x4  4 Se 2.96-3.01
Sb 0.0011 0.5000 0.7525 x4  2 Sb 2.86-2.89
Se 0.2159 0.0000 0.7163 x4  4 La 2.96-3.01

Results
Mass density: 5.774 Mg/m³
M_tot: 0.000 μB/f.u.
Total energy: -65.1 eV per cell
Crystal system: monoclinic
Uncorrected formation energy: -3.75 eV per formula unit